Computed, not measured: a relaxed Er2TmPd crystal at the GGA-PBE level of DFT.

The structure in CIF format:
```
data_Er2TmPd
_chemical_formula_sum 'Er6 Tm3 Pd3'
_cell_length_a 3.5181
_cell_length_b 3.5181
_cell_length_c 31.8394
_cell_angle_alpha 90.00
_cell_angle_beta 90.00
_cell_angle_gamma 120.00
_symmetry_space_group_name_H-M 'R -3 m'
_symmetry_Int_Tables_number 166
_symmetry_space_group_name_Hall '-R 3 2"'
loop_
_atom_site_label
_atom_site_fract_x
_atom_site_fract_y
_atom_site_fract_z
_atom_site_occupancy
Er1 0.0000 0.0000 0.1049 1
Tm1 0.0000 0.0000 0.0000 1
Pd1 0.0000 0.0000 0.5000 1
```

Summary:
For the magnetic moment, the calculation gives 0.04 μB/cell. For the volume, the calculation gives 113.8 Å³/f.u. The formation energy comes out at -0.10 eV/atom. As for the energy relative to the lowest polymorph listed for this composition: 152 kJ/mol of formula units.



Computed, not measured: a relaxed Er5Tm2Pd4 crystal at the GGA-PBE level of DFT.

The structure in CIF format:
```
data_Er5Tm2Pd4
_chemical_formula_sum 'Er10 Tm4 Pd8'
_cell_length_a 22.821
_cell_length_b 3.981
_cell_length_c 6.303
_cell_angle_alpha 90.00
_cell_angle_beta 90.92
_cell_angle_gamma 90.00
_symmetry_space_group_name_H-M 'C 1 2/m 1'
_symmetry_Int_Tables_number 12
loop_
_symmetry_equiv_pos_as_xyz
'x,y,z'
'-x,-y,-z'
'-x,y,-z'
'x,-y,z'
'x+1/2,y+1/2,z'
'-x+1/2,-y+1/2,-z'
'-x+1/2,y+1/2,-z'
'x+1/2,-y+1/2,z'
loop_
_atom_site_label
_atom_site_fract_x
_atom_site_fract_y
_atom_site_fract_z
_atom_site_occupancy
Er1 0.000 0.000 0.000 1
Er2 0.124 0.500 0.050 1
Er3 0.227 0.000 0.742 1
Tm1 0.080 0.000 0.528 1
Pd1 0.013 0.500 0.293 1
Pd2 0.187 0.000 0.281 1
```

Summary:
For the magnetic moment, the calculation gives 0.00 μB/cell. For the volume, the calculation gives 286.3 Å³/f.u. The formation energy comes out at -0.59 eV/atom.



Computed, not measured: a relaxed Er3TmPd crystal at the GGA-PBE level of DFT.

The structure in CIF format:
```
data_Er3TmPd
_chemical_formula_sum 'Er12 Tm4 Pd4'
_cell_length_a 11.381
_cell_length_b 8.407
_cell_length_c 7.798
_cell_angle_alpha 90.00
_cell_angle_beta 128.41
_cell_angle_gamma 90.00
_symmetry_space_group_name_H-M 'C 1 2/m 1'
_symmetry_Int_Tables_number 12
loop_
_symmetry_equiv_pos_as_xyz
'x,y,z'
'-x,-y,-z'
'-x,y,-z'
'x,-y,z'
'x+1/2,y+1/2,z'
'-x+1/2,-y+1/2,-z'
'-x+1/2,y+1/2,-z'
'x+1/2,-y+1/2,z'
loop_
_atom_site_label
_atom_site_fract_x
_atom_site_fract_y
_atom_site_fract_z
_atom_site_occupancy
Er1 0.040 0.000 0.313 1
Er2 0.208 0.301 0.740 1
Tm1 0.073 0.500 0.274 1
Pd1 0.231 0.500 0.083 1
```

Summary:
For the magnetic moment, the calculation gives 0.01 μB/cell. For the volume, the calculation gives 146.2 Å³/f.u. The formation energy comes out at -0.28 eV/atom. As for the energy relative to the lowest polymorph listed for this composition: 46 kJ/mol of formula units.



Computed, not measured: a relaxed ErTm3Pd4 crystal at the GGA-PBE level of DFT.

The structure in CIF format:
```
data_ErTm3Pd4
_chemical_formula_sum 'Er2 Tm6 Pd8'
_cell_length_a 3.667
_cell_length_b 6.622
_cell_length_c 15.204
_cell_angle_alpha 90.00
_cell_angle_beta 90.00
_cell_angle_gamma 90.00
_symmetry_space_group_name_H-M 'I m m m'
_symmetry_Int_Tables_number 71
_symmetry_space_group_name_Hall '-I 2 2'
loop_
_atom_site_label
_atom_site_fract_x
_atom_site_fract_y
_atom_site_fract_z
_atom_site_occupancy
Er1 0.000 0.000 0.000 1
Tm1 0.000 0.000 0.500 1
Tm2 0.000 0.500 0.296 1
Pd1 0.000 0.293 0.129 1
```

Summary:
For the magnetic moment, the calculation gives 0.00 μB/cell. For the volume, the calculation gives 184.6 Å³/f.u. The formation energy comes out at -0.73 eV/atom. As for the energy relative to the lowest polymorph listed for this composition: 164 kJ/mol of formula units.